Entry 1:
Below is a geometry-optimized NiSb2As structure, with properties calculated at the PBE level.

Cell: 5.504 5.504 5.785 Å, 90.00 90.00 90.00°
Atoms (fractional coordinates):
Ni: 0.000 0.000 0.000
Ni: 0.500 0.500 0.500
Sb: 0.000 0.500 0.000
Sb: 0.000 0.500 0.500
Sb: 0.500 0.000 0.000
Sb: 0.500 0.000 0.500
As: 0.000 0.000 0.500
As: 0.500 0.500 0.000

Values from the calculation:
E_form (uncorrected) ... 237 meV/atom
SG ... No. 139
Raw total energy ... -4.4321 eV per atom

---

Entry 2:
Below is a geometry-optimized Ni6SbAs structure, with properties calculated at the PBE level.

Cell: 3.674 3.674 7.286 Å, 90.00 90.00 90.00°
Atoms (fractional coordinates):
Ni: 0.000 0.000 0.000
Ni: 0.000 0.000 0.500
Ni: 0.000 0.500 0.238
Ni: 0.000 0.500 0.762
Ni: 0.500 0.000 0.238
Ni: 0.500 0.000 0.762
Sb: 0.500 0.500 0.500
As: 0.500 0.500 0.000

Values from the calculation:
E_form (uncorrected) ... -139 meV/atom
SG ... No. 123
Raw total energy ... -5.5714 eV per atom

---

Entry 3:
Below is a geometry-optimized NiSbAs2 structure, with properties calculated at the PBE level.

Cell: 4.557 3.730 4.800 Å, 90.00 109.87 90.00°
Atoms (fractional coordinates):
Ni: 0.000 0.000 0.000
Sb: 0.500 0.000 0.500
As: 0.224 0.500 0.821
As: 0.776 0.500 0.179

Values from the calculation:
E_form (uncorrected) ... -27 meV/atom
SG ... No. 10
Raw total energy ... -4.8276 eV per atom